[1]
GaCu5Ge: optimized geometry, GGA-PBE.

**Formation energy**: 0.00 eV per atom
**Space-group type**: Cmcm (63)
**Spin magnetization**: 0.00 μB/cell
**Volume**: 190.3 Å³ per cell

Unit cell a=4.5714 b=4.5714 c=9.8191 alpha=90.00 beta=90.00 gamma=68.07
Fractional coordinates of all 14 atoms:
Ga  0.0000  0.0000  0.0000
Ga  0.0000  0.0000  0.5000
Cu  0.0939  0.9061  0.7500
Cu  0.1353  0.4160  0.6157
Cu  0.1353  0.4160  0.8843
Cu  0.4160  0.1353  0.1157
Cu  0.4160  0.1353  0.3843
Cu  0.5840  0.8647  0.6157
Cu  0.5840  0.8647  0.8843
Cu  0.8647  0.5840  0.1157
Cu  0.8647  0.5840  0.3843
Cu  0.9061  0.0939  0.2500
Ge  0.3838  0.6162  0.2500
Ge  0.6162  0.3838  0.7500

[2]
TbCeSc4: optimized geometry, GGA-PBE.

**Formation energy**: 0.19 eV per atom
**Space-group type**: Pmma (51)
**Spin magnetization**: 0.52 μB/cell
**Volume**: 317.4 Å³ per cell

Unit cell a=6.9655 b=5.4220 c=8.4043 alpha=90.00 beta=90.00 gamma=90.00
Fractional coordinates of all 12 atoms:
Tb  0.2500  0.0000  0.1576
Tb  0.7500  0.0000  0.8424
Ce  0.2500  0.0000  0.7965
Ce  0.7500  0.0000  0.2035
Sc  0.0000  0.0000  0.5000
Sc  0.0110  0.5000  0.8161
Sc  0.2500  0.5000  0.4956
Sc  0.4890  0.5000  0.8161
Sc  0.5000  0.0000  0.5000
Sc  0.5110  0.5000  0.1839
Sc  0.7500  0.5000  0.5044
Sc  0.9890  0.5000  0.1839

[3]
PrDy2Pu: optimized geometry, GGA-PBE.

**ΔE to the lowest computed polymorph**: 0.00 eV per formula unit
**Formation energy**: 0.10 eV per atom
**Space-group type**: P4/mmm (123)
**Spin magnetization**: 6.47 μB/cell
**Volume**: 126.2 Å³ per cell

Unit cell a=3.5387 b=3.5387 c=10.0777 alpha=90.00 beta=90.00 gamma=90.00
Fractional coordinates of all 4 atoms:
Pr  0.0000  0.0000  0.0000
Dy  0.5000  0.5000  0.2623
Dy  0.5000  0.5000  0.7377
Pu  0.0000  0.0000  0.5000

[4]
SrTcOs: optimized geometry, GGA-PBE.

**ΔE to the lowest computed polymorph**: 0.26 eV per formula unit
**Formation energy**: 0.34 eV per atom
**Space-group type**: Pm (6)
**Spin magnetization**: 0.00 μB/cell
**Volume**: 133.0 Å³ per cell

Unit cell a=5.0979 b=4.4546 c=6.0628 alpha=90.00 beta=105.00 gamma=90.00
Fractional coordinates of all 6 atoms:
Sr  0.0000  0.0000  0.0000
Sr  0.4969  0.5000  0.9136
Tc  0.3250  0.5000  0.3953
Tc  0.6255  0.0000  0.4116
Os  0.1669  0.0000  0.5262
Os  0.8689  0.5000  0.5195

Please write out number 4 again, unchanged.
SrTcOs: optimized geometry, GGA-PBE.

**ΔE to the lowest computed polymorph**: 0.26 eV per formula unit
**Formation energy**: 0.34 eV per atom
**Space-group type**: Pm (6)
**Spin magnetization**: 0.00 μB/cell
**Volume**: 133.0 Å³ per cell

Unit cell a=5.0979 b=4.4546 c=6.0628 alpha=90.00 beta=105.00 gamma=90.00
Fractional coordinates of all 6 atoms:
Sr  0.0000  0.0000  0.0000
Sr  0.4969  0.5000  0.9136
Tc  0.3250  0.5000  0.3953
Tc  0.6255  0.0000  0.4116
Os  0.1669  0.0000  0.5262
Os  0.8689  0.5000  0.5195

Q: formation energy of number 1 (GaCu5Ge)?
A: 0.00 eV per atom